DFT (PBE) results for a geometry-optimized SnH5Ru structure.

abc: 4.4854 4.4854 6.6386
angles: 76.29 76.29 97.10
Atoms (fractional coordinates):
Sn1 0.0623 0.4377 0.2500
Sn2 0.9377 0.5623 0.7500
H1 0.2901 0.1772 0.0788
H2 0.3077 0.8010 0.4582
H3 0.6772 0.7901 0.5788
H4 0.6963 0.8037 0.2500
H5 0.6990 0.1923 0.0418
H6 0.3010 0.8077 0.9582
H7 0.3037 0.1963 0.7500
H8 0.3228 0.2099 0.4212
H9 0.6923 0.1990 0.5418
H10 0.7099 0.8228 0.9212
Ru1 0.0000 0.0000 0.0000
Ru2 0.5000 0.5000 0.5000

## Properties
The total energy comes out at -0.3030 Ry per atom. Its magnetization is 0.00 μB/f.u.

DFT (PBE) results for a geometry-optimized Sn2HRu2 structure.

abc: 5.9447 5.9447 4.3687
angles: 90.00 90.00 90.00
Atoms (fractional coordinates):
Ru1 0.3346 0.8346 0.0000
Ru2 0.8346 0.6654 0.0000
Ru3 0.6654 0.1654 0.0000
Ru4 0.1654 0.3346 0.0000
Sn1 0.1663 0.6663 0.5000
Sn2 0.6663 0.8337 0.5000
Sn3 0.8337 0.3337 0.5000
Sn4 0.3337 0.1663 0.5000
H1 0.0000 0.0000 0.0000
H2 0.5000 0.5000 0.0000

## Properties
The total energy comes out at -0.4218 Ry per atom. Its magnetization is 0.00 μB/f.u.

DFT (PBE) results for a geometry-optimized SnH3Ru structure.

abc: 3.4177 3.4181 4.8247
angles: 69.26 69.26 90.02
Atoms (fractional coordinates):
Sn1 0.3728 0.1764 0.9599
H1 0.6218 0.9262 0.4613
H2 0.1227 0.4252 0.4614
H3 0.8452 0.6487 0.0138
Ru1 0.0452 0.8487 0.6148

## Properties
The total energy comes out at -0.3429 Ry per atom. As for the energy above the most stable polymorph in this dataset: 0 meV per atom. Its magnetization is 0.00 μB/f.u.

DFT (PBE) results for a geometry-optimized SnHRu2 structure.

abc: 3.9109 3.9109 5.2713
angles: 68.23 68.23 60.00
Atoms (fractional coordinates):
Ru1 0.8059 0.8059 0.5822
Ru2 0.1941 0.1941 0.4178
Sn1 0.0000 0.0000 0.0000
H1 0.5000 0.5000 0.5000

## Properties
The total energy comes out at -0.4400 Ry per atom. As for the energy above the most stable polymorph in this dataset: 312 meV per atom. Its magnetization is 0.00 μB/f.u.

DFT (PBE) results for a geometry-optimized Sn3HRu structure.

abc: 4.5139 4.5139 4.5139
angles: 90.00 90.00 90.00
Atoms (fractional coordinates):
Ru1 0.5000 0.5000 0.5000
Sn1 0.0000 0.5000 0.0000
Sn2 0.0000 0.0000 0.5000
Sn3 0.5000 0.0000 0.0000
H1 0.0000 0.0000 0.0000

## Properties
The total energy comes out at -0.3213 Ry per atom. As for the energy above the most stable polymorph in this dataset: 118 meV per atom. Its magnetization is 0.03 μB/f.u.

DFT (PBE) results for a geometry-optimized SnH3Ru structure.

abc: 5.6738 7.0172 4.9258
angles: 91.20 90.00 90.00
Atoms (fractional coordinates):
Sn1 0.7424 0.5586 0.3840
Sn2 0.2576 0.4414 0.6160
Sn3 0.2424 0.9414 0.1160
Sn4 0.7576 0.0586 0.8840
H1 0.1228 0.3221 0.1165
H2 0.8772 0.6779 0.8835
H3 0.6228 0.1779 0.3835
H4 0.3772 0.8221 0.6165
H5 0.1028 0.6884 0.3200
H6 0.8972 0.3116 0.6800
H7 0.6028 0.8116 0.1800
H8 0.3972 0.1884 0.8200
H9 0.8699 0.9440 0.3997
H10 0.1301 0.0560 0.6003
H11 0.3699 0.5560 0.1003
H12 0.6301 0.4440 0.8997
Ru1 0.4324 0.3059 0.1166
Ru2 0.5676 0.6941 0.8834
Ru3 0.9324 0.1941 0.3834
Ru4 0.0676 0.8059 0.6166

## Properties
The total energy comes out at -0.3410 Ry per atom. As for the energy above the most stable polymorph in this dataset: 27 meV per atom. Its magnetization is 0.00 μB/f.u.

DFT (PBE) results for a geometry-optimized Sn2H5Ru structure.

abc: 4.7354 5.1935 7.0254
angles: 42.51 70.22 62.89
Atoms (fractional coordinates):
Sn1 0.3411 0.1623 0.1560
Sn2 0.7662 0.8885 0.5776
H1 0.8181 0.6665 0.2622
H2 0.7507 0.2551 0.7802
H3 0.2565 0.6703 0.2580
H4 0.2106 0.2604 0.7758
H5 0.1242 0.8192 0.9327
Ru1 0.9556 0.0548 0.0344

## Properties
The total energy comes out at -0.3049 Ry per atom. Its magnetization is 0.00 μB/f.u.

DFT (PBE) results for a geometry-optimized SnHRu2 structure.

abc: 4.3123 4.3123 4.3123
angles: 60.00 60.00 60.00
Atoms (fractional coordinates):
Ru1 0.2500 0.2500 0.2500
Ru2 0.7500 0.7500 0.7500
Sn1 0.5000 0.5000 0.5000
H1 0.0000 0.0000 0.0000

## Properties
The total energy comes out at -0.4227 Ry per atom. As for the energy above the most stable polymorph in this dataset: 547 meV per atom. Its magnetization is 1.27 μB/f.u.

DFT (PBE) results for a geometry-optimized SnH4Ru structure.

abc: 5.3856 5.3856 6.5925
angles: 89.92 89.91 45.88
Atoms (fractional coordinates):
Sn1 0.0437 0.9563 0.5000
Sn2 0.0438 0.9562 0.0000
H1 0.5828 0.0454 0.7503
H2 0.5609 0.7878 0.1052
H3 0.5605 0.7883 0.3938
H4 0.2117 0.4395 0.6062
H5 0.2122 0.4391 0.8948
H6 0.4982 0.7140 0.7498
H7 0.9546 0.4172 0.2497
H8 0.2860 0.5018 0.2502
Ru1 0.5797 0.5340 0.2499
Ru2 0.4660 0.4203 0.7501

## Properties
The total energy comes out at -0.3169 Ry per atom. Its magnetization is 0.00 μB/f.u.

DFT (PBE) results for a geometry-optimized Sn3HRu structure.

abc: 5.0774 5.0774 5.0774
angles: 90.00 90.00 90.00
Atoms (fractional coordinates):
Ru1 0.0000 0.0000 0.0000
Sn1 0.0000 0.5000 0.0000
Sn2 0.0000 0.0000 0.5000
Sn3 0.5000 0.0000 0.0000
H1 0.5000 0.5000 0.5000

## Properties
The total energy comes out at -0.3300 Ry per atom. As for the energy above the most stable polymorph in this dataset: 0 meV per atom. Its magnetization is 0.00 μB/f.u.

DFT (PBE) results for a geometry-optimized Sn2H2Ru structure.

abc: 3.2047 3.2047 6.8676
angles: 76.51 76.51 90.00
Atoms (fractional coordinates):
Ru1 0.0000 0.0000 0.0000
Sn1 0.3720 0.3720 0.2560
Sn2 0.6280 0.6280 0.7440
H1 0.7500 0.2500 0.5000
H2 0.2500 0.7500 0.5000

## Properties
The total energy comes out at -0.3297 Ry per atom. Its magnetization is 0.00 μB/f.u.

DFT (PBE) results for a geometry-optimized Sr2SnH6Ru structure.

abc: 6.6484 5.1214 5.1214
angles: 120.00 90.00 90.00
Atoms (fractional coordinates):
Sr1 0.1881 0.3333 0.6667
Sr2 0.8119 0.6667 0.3333
Sn1 0.5000 0.0000 0.0000
H1 0.8587 0.1625 0.3251
H2 0.8587 0.1625 0.8375
H3 0.8587 0.6749 0.8375
H4 0.1413 0.8375 0.1625
H5 0.1413 0.3251 0.1625
H6 0.1413 0.8375 0.6749
Ru1 0.0000 0.0000 0.0000

## Properties
The total energy comes out at -0.2952 Ry per atom. Its magnetization is 0.00 μB/f.u.

DFT (PBE) results for a geometry-optimized TaSnHRu2 structure.

abc: 4.1870 4.1870 3.8835
angles: 90.00 90.00 90.00
Atoms (fractional coordinates):
Ru1 0.0000 0.5000 0.0000
Ru2 0.5000 0.0000 0.0000
Sn1 0.5000 0.5000 0.5000
H1 0.0000 0.0000 0.0000
Ta1 0.0000 0.0000 0.5000

## Properties
The total energy comes out at -0.5568 Ry per atom. Its magnetization is 0.00 μB/f.u.

DFT (PBE) results for a geometry-optimized TcSnHRu2 structure.

abc: 4.1095 4.1095 3.9982
angles: 90.00 90.00 90.00
Atoms (fractional coordinates):
Ru1 0.0000 0.5000 0.0000
Ru2 0.5000 0.0000 0.0000
Sn1 0.5000 0.5000 0.5000
H1 0.0000 0.0000 0.0000
Tc1 0.0000 0.0000 0.5000

## Properties
The total energy comes out at -0.5193 Ry per atom. As for the energy above the most stable polymorph in this dataset: 0 meV per atom. Its magnetization is 2.56 μB/f.u.

DFT (PBE) results for a geometry-optimized TcSnHRu2 structure.

abc: 3.9282 4.3870 3.9282
angles: 90.00 90.00 90.00
Atoms (fractional coordinates):
Ru1 0.0000 0.0000 0.5000
Ru2 0.5000 0.0000 0.0000
Sn1 0.0000 0.5000 0.0000
H1 0.0000 0.0000 0.0000
Tc1 0.5000 0.5000 0.5000

## Properties
The total energy comes out at -0.5038 Ry per atom. As for the energy above the most stable polymorph in this dataset: 212 meV per atom. Its magnetization is 1.41 μB/f.u.

DFT (PBE) results for a geometry-optimized ThSnH8Ru2 structure.

abc: 4.3676 4.6960 6.6072
angles: 66.69 70.70 62.29
Atoms (fractional coordinates):
Th1 0.5000 0.5000 0.5000
Sn1 0.0000 0.0000 0.0000
H1 0.9222 0.4806 0.6750
H2 0.6860 0.4959 0.1321
H3 0.0778 0.5194 0.3250
H4 0.3140 0.5041 0.8679
H5 0.5587 0.0497 0.3341
H6 0.4413 0.9503 0.6659
H7 0.0575 0.0497 0.3341
H8 0.9425 0.9503 0.6659
Ru1 0.2940 0.2730 0.1391
Ru2 0.7060 0.7270 0.8609

## Properties
The total energy comes out at -0.3576 Ry per atom. Its magnetization is 0.00 μB/f.u.

DFT (PBE) results for a geometry-optimized ThSnH6Ru2 structure.

abc: 6.2873 6.2873 5.9278
angles: 101.95 101.95 105.43
Atoms (fractional coordinates):
Th1 0.1466 0.8534 0.2500
Th2 0.8534 0.1466 0.7500
Sn1 0.6622 0.3378 0.2500
Sn2 0.3378 0.6622 0.7500
H1 0.0091 0.4395 0.1164
H2 0.5605 0.9909 0.3836
H3 0.9909 0.5605 0.8836
H4 0.4395 0.0091 0.6164
H5 0.1872 0.1862 0.0871
H6 0.8138 0.8128 0.4129
H7 0.8128 0.8138 0.9129
H8 0.1862 0.1872 0.5871
H9 0.3351 0.5409 0.3639
H10 0.4591 0.6649 0.1361
H11 0.6649 0.4591 0.6361
H12 0.5409 0.3351 0.8639
Ru1 0.3280 0.1013 0.8406
Ru2 0.8987 0.6720 0.6594
Ru3 0.6720 0.8987 0.1594
Ru4 0.1013 0.3280 0.3406

## Properties
The total energy comes out at -0.3803 Ry per atom. Its magnetization is 0.00 μB/f.u.

DFT (PBE) results for a geometry-optimized TiSnHRu2 structure.

abc: 4.1944 4.1944 3.7463
angles: 90.00 90.00 90.00
Atoms (fractional coordinates):
Ru1 0.0000 0.5000 0.0000
Ru2 0.5000 0.0000 0.0000
Sn1 0.5000 0.5000 0.5000
H1 0.0000 0.0000 0.0000
Ti1 0.0000 0.0000 0.5000

## Properties
The total energy comes out at -0.5184 Ry per atom. Its magnetization is 0.00 μB/f.u.

DFT (PBE) results for a geometry-optimized U2Sn2HRu4 structure.

abc: 5.7539 5.7539 5.7539
angles: 104.09 112.23 112.23
Atoms (fractional coordinates):
U1 0.0000 0.6845 0.6845
U2 0.0000 0.3155 0.3155
Sn1 0.5000 0.7500 0.2500
Sn2 0.5000 0.2500 0.7500
H1 0.0000 0.0000 0.0000
Ru1 0.0000 0.7750 0.2250
Ru2 0.5501 0.7750 0.7750
Ru3 0.0000 0.2250 0.7750
Ru4 0.4499 0.2250 0.2250

## Properties
The total energy comes out at -0.5939 Ry per atom. Its magnetization is 0.00 μB/f.u.

DFT (PBE) results for a geometry-optimized V2SnHRu structure.

abc: 3.9206 3.9206 4.0974
angles: 90.00 90.00 90.00
Atoms (fractional coordinates):
Ru1 0.0000 0.0000 0.5000
Sn1 0.5000 0.5000 0.5000
H1 0.0000 0.0000 0.0000
V1 0.0000 0.5000 0.0000
V2 0.5000 0.0000 0.0000

## Properties
The total energy comes out at -0.5181 Ry per atom. Its magnetization is 0.00 μB/f.u.

DFT (PBE) results for a geometry-optimized ZnSnHRu2 structure.

abc: 4.2726 4.2726 3.5043
angles: 90.00 90.00 90.00
Atoms (fractional coordinates):
Ru1 0.0000 0.5000 0.0000
Ru2 0.5000 0.0000 0.0000
Zn1 0.0000 0.0000 0.5000
Sn1 0.5000 0.5000 0.5000
H1 0.0000 0.0000 0.0000

## Properties
The total energy comes out at -0.3932 Ry per atom. Its magnetization is 0.00 μB/f.u.

DFT (PBE) results for a geometry-optimized ZnSn2HRu structure.

abc: 5.0894 4.9505 5.0894
angles: 90.00 90.00 90.00
Atoms (fractional coordinates):
Ru1 0.0000 0.0000 0.0000
Zn1 0.0000 0.5000 0.0000
Sn1 0.0000 0.0000 0.5000
Sn2 0.5000 0.0000 0.0000
H1 0.5000 0.5000 0.5000

## Properties
The total energy comes out at -0.2902 Ry per atom. Its magnetization is 0.37 μB/f.u.

DFT (PBE) results for a geometry-optimized ZrSnHRu2 structure.

abc: 4.2613 3.9193 4.2613
angles: 90.00 90.00 90.00
Atoms (fractional coordinates):
Ru1 0.0000 0.0000 0.5000
Ru2 0.5000 0.0000 0.0000
Sn1 0.5000 0.5000 0.5000
Zr1 0.0000 0.5000 0.0000
H1 0.0000 0.0000 0.0000

## Properties
The total energy comes out at -0.5269 Ry per atom. Its magnetization is 0.00 μB/f.u.

DFT (PBE) results for a geometry-optimized Zr2SnHRu structure.

abc: 4.4312 4.4312 4.0883
angles: 90.00 90.00 90.00
Atoms (fractional coordinates):
Ru1 0.0000 0.0000 0.5000
Sn1 0.5000 0.5000 0.5000
Zr1 0.0000 0.5000 0.0000
Zr2 0.5000 0.0000 0.0000
H1 0.0000 0.0000 0.0000

## Properties
The total energy comes out at -0.5260 Ry per atom. Its magnetization is 0.00 μB/f.u.

DFT (PBE) results for a geometry-optimized Sr2H2Ru structure.

abc: 3.6690 3.6690 7.6702
angles: 76.16 76.16 90.00
Atoms (fractional coordinates):
Ru1 0.0000 0.0000 0.0000
H1 0.7500 0.2500 0.5000
H2 0.2500 0.7500 0.5000
Sr1 0.3558 0.3558 0.2884
Sr2 0.6442 0.6442 0.7116

## Properties
The total energy comes out at -0.2718 Ry per atom. Its magnetization is 0.88 μB/f.u.